(1)
VASP calculation (meta-GGA SCAN) on LiTa3O8 at its PBEsol-relaxed geometry.

Results
**Relative energy among the computed polymorphs**: 0.000 eV/atom
**DOS(E_F)**: 0.00 states/eV/f.u.
**Formation energy from raw total energies**: -3.004 eV per atom
**Magnetization**: 0.00 μB per cell
**Space group**: C2/c

a b c (Å): 5.0463 7.4486 7.4486
angles (deg): 101.64 90.53 90.53
With the nearest neighbours (Å) after each atom.
Fractional positions:
Li1 0.2500 0.1581 0.8419  4 O 2.08-2.13
Li2 0.7500 0.8419 0.1581  4 O 2.08-2.13
Ta1 0.2500 0.6704 0.3296  6 O 1.96-2.03
Ta2 0.7500 0.3296 0.6704  6 O 1.96-2.03
Ta3 0.2546 0.6733 0.8444  5 O 1.87-2.07
Ta4 0.2454 0.1556 0.3267  5 O 1.87-2.07
Ta5 0.7454 0.3267 0.1556  5 O 1.87-2.07
Ta6 0.7546 0.8444 0.6733  5 O 1.87-2.07
O1 0.3955 0.6861 0.0803  2 Ta 1.87-2.03
O2 0.1045 0.9197 0.3139  2 Ta 1.87-2.03
O3 0.6045 0.3139 0.9197  2 Ta 1.87-2.03
O4 0.8955 0.0803 0.6861  2 Ta 1.87-2.03
O5 0.5652 0.0952 0.1947  2 Ta 1.91-2.02, 1 Li 2.08
O6 0.9348 0.8053 0.9048  2 Ta 1.91-2.02, 1 Li 2.08
O7 0.4348 0.9048 0.8053  2 Ta 1.91-2.02, 1 Li 2.08
O8 0.0652 0.1947 0.0952  2 Ta 1.91-2.02, 1 Li 2.08
O9 0.5764 0.7934 0.4382  2 Ta 1.93-1.96
O10 0.9236 0.5618 0.2066  2 Ta 1.93-1.96
O11 0.4236 0.2066 0.5618  2 Ta 1.93-1.96
O12 0.0764 0.4382 0.7934  2 Ta 1.93-1.96
O13 0.9165 0.3037 0.4294  2 Ta 1.96-2.07
O14 0.5835 0.5706 0.6963  2 Ta 1.96-2.07
O15 0.0835 0.6963 0.5706  2 Ta 1.96-2.07
O16 0.4165 0.4294 0.3037  2 Ta 1.96-2.07

***

(2)
VASP calculation (meta-GGA SCAN) on LiTa3O8 at its PBEsol-relaxed geometry.

Results
**Relative energy among the computed polymorphs**: 0.038 eV/atom
**DOS(E_F)**: 0.00 states/eV/f.u.
**Formation energy from raw total energies**: -2.967 eV per atom
**Magnetization**: 0.00 μB per cell
**Space group**: Pmma

a b c (Å): 3.8887 8.9585 16.9321
angles (deg): 90.00 90.00 90.00
With the nearest neighbours (Å) after each atom.
Fractional positions:
Li1 0.0000 0.1531 0.3648  4 O 1.97-2.11
Li2 0.0000 0.8469 0.6352  4 O 1.97-2.11
Li3 0.0000 0.1531 0.1352  4 O 1.97-2.11
Li4 0.0000 0.8469 0.8648  4 O 1.97-2.11
Ta1 0.5000 0.8129 0.4409  5 O 1.90-2.05
Ta2 0.5000 0.1871 0.5591  5 O 1.90-2.05
Ta3 0.5000 0.8129 0.0591  5 O 1.90-2.05
Ta4 0.5000 0.1871 0.9409  5 O 1.90-2.05
Ta5 0.5000 0.6790 0.2500  7 O 1.94-2.11
Ta6 0.5000 0.3210 0.7500  7 O 1.94-2.11
Ta7 0.5000 0.3970 0.3691  6 O 1.92-2.07
Ta8 0.5000 0.6030 0.6309  6 O 1.92-2.07
Ta9 0.5000 0.3970 0.1309  6 O 1.92-2.07
Ta10 0.5000 0.6030 0.8691  6 O 1.92-2.07
Ta11 0.5000 0.0424 0.2500  6 O 1.93-2.00
Ta12 0.5000 0.9576 0.7500  6 O 1.93-2.00
O1 0.5000 0.1760 0.3396  2 Ta 1.93-2.04, 2 Li 2.00
O2 0.5000 0.8240 0.6604  2 Ta 1.93-2.04, 2 Li 2.00
O3 0.5000 0.1760 0.1604  2 Ta 1.93-2.04, 2 Li 2.00
O4 0.5000 0.8240 0.8396  2 Ta 1.93-2.04, 2 Li 2.00
O5 0.5000 0.4481 0.2500  3 Ta 2.07
O6 0.5000 0.5519 0.7500  3 Ta 2.07
O7 0.0000 0.8285 0.4348  2 Ta 1.95
O8 0.0000 0.1715 0.5652  2 Ta 1.95
O9 0.0000 0.8285 0.0652  2 Ta 1.95
O10 0.0000 0.1715 0.9348  2 Ta 1.95
O11 0.0000 0.6815 0.2500  2 Ta 1.94
O12 0.0000 0.3185 0.7500  2 Ta 1.94
O13 0.5000 0.6135 0.3697  3 Ta 1.94-2.15
O14 0.5000 0.3865 0.6303  3 Ta 1.94-2.15
O15 0.5000 0.6135 0.1303  3 Ta 1.94-2.15
O16 0.5000 0.3865 0.8697  3 Ta 1.94-2.15
O17 0.0000 0.3735 0.3658  2 Ta 1.96, 1 Li 1.97
O18 0.0000 0.6265 0.6342  2 Ta 1.96, 1 Li 1.97
O19 0.0000 0.3735 0.1342  2 Ta 1.96, 1 Li 1.97
O20 0.0000 0.6265 0.8658  2 Ta 1.96, 1 Li 1.97
O21 0.0000 0.0610 0.2500  2 Ta 1.95, 2 Li 2.11
O22 0.0000 0.9390 0.7500  2 Ta 1.95, 2 Li 2.11
O23 0.5000 0.8674 0.3231  3 Ta 2.00-2.09
O24 0.5000 0.1326 0.6769  3 Ta 2.00-2.09
O25 0.5000 0.8674 0.1769  3 Ta 2.00-2.09
O26 0.5000 0.1326 0.8231  3 Ta 2.00-2.09
O27 0.5000 0.3332 0.4775  2 Ta 1.90-1.92
O28 0.5000 0.6668 0.5225  2 Ta 1.90-1.92
O29 0.5000 0.3332 0.0225  2 Ta 1.90-1.92
O30 0.5000 0.6668 0.9775  2 Ta 1.90-1.92
O31 0.5000 0.0000 0.5000  2 Ta 1.95
O32 0.5000 0.0000 0.0000  2 Ta 1.95

***

(3)
VASP calculation (meta-GGA SCAN) on Li6Tb2O7 at its PBEsol-relaxed geometry.

Results
**DOS(E_F)**: 0.00 states/eV/f.u.
**Formation energy from raw total energies**: -2.411 eV per atom
**Magnetization**: 0.00 μB per cell
**Space group**: P2_1/c

a b c (Å): 5.9417 6.1551 8.3052
angles (deg): 90.00 94.23 90.00
With the nearest neighbours (Å) after each atom.
Fractional positions:
Li1 0.4132 0.1421 0.4285  4 O 1.91-2.09
Li2 0.0868 0.6421 0.5715  4 O 1.91-2.09
Li3 0.5868 0.8579 0.5715  4 O 1.91-2.09
Li4 0.9132 0.3579 0.4285  4 O 1.91-2.09
Li5 0.6455 0.1272 0.2059  4 O 1.96-2.02
Li6 0.8545 0.6272 0.7941  4 O 1.96-2.02
Li7 0.3545 0.8728 0.7941  4 O 1.96-2.02
Li8 0.1455 0.3728 0.2059  4 O 1.96-2.02
Li9 0.3880 0.6073 0.4135  4 O 1.94-2.08
Li10 0.1120 0.1073 0.5865  4 O 1.94-2.08
Li11 0.6120 0.3927 0.5865  4 O 1.94-2.08
Li12 0.8880 0.8927 0.4135  4 O 1.94-2.08
O1 0.5000 0.0000 0.0000  2 O 1.91, 2 Li 2.02
O2 0.0000 0.5000 0.0000  2 O 1.91, 2 Li 2.02
O3 0.0911 0.2028 0.0073  1 O 1.91, 1 Li 1.96
O4 0.4089 0.7028 0.9927  1 O 1.91, 1 Li 1.96
O5 0.9089 0.7972 0.9927  1 O 1.91, 1 Li 1.96
O6 0.5911 0.2972 0.0073  1 O 1.91, 1 Li 1.96
O7 0.0918 0.1273 0.3528  5 Li 1.91-1.98
O8 0.4082 0.6273 0.6472  5 Li 1.91-1.98
O9 0.9082 0.8727 0.6472  5 Li 1.91-1.98
O10 0.5918 0.3727 0.3528  5 Li 1.91-1.98
O11 0.5512 0.8651 0.3281  5 Li 2.01-2.09
O12 0.9488 0.3651 0.6719  5 Li 2.01-2.09
O13 0.4488 0.1349 0.6719  5 Li 2.01-2.09
O14 0.0512 0.6349 0.3281  5 Li 2.01-2.09
Tb1 0.1997 0.9010 0.1605  7 O 2.23-2.43
Tb2 0.3003 0.4010 0.8395  7 O 2.23-2.43
Tb3 0.8003 0.0990 0.8395  7 O 2.23-2.43
Tb4 0.6997 0.5990 0.1605  7 O 2.23-2.43

***

(4)
VASP calculation (meta-GGA SCAN) on LiTcO3 at its PBEsol-relaxed geometry.

Results
**DOS(E_F)**: 1.20 states/eV/f.u.
**Formation energy from raw total energies**: -1.697 eV per atom
**Magnetization**: 0.01 μB per cell
**Space group**: Pm-3m

a b c (Å): 3.7892 3.7892 3.7892
angles (deg): 90.00 90.00 90.00
With the nearest neighbours (Å) after each atom.
Fractional positions:
Tc1 0.0000 0.0000 0.0000  6 O 1.89
O1 0.0000 0.5000 0.0000  2 Tc 1.89
O2 0.0000 0.0000 0.5000  2 Tc 1.89
O3 0.5000 0.0000 0.0000  2 Tc 1.89
Li1 0.5000 0.5000 0.5000  12 O 2.68